Record 1
The following is a PBE-GGA calculation of LaAl2Te after structural relaxation, from Alexandria via LeMat-Bulk.

Output
- DOS at the Fermi energy: 0.5229 states/eV per atom
- Formation energy (no corrections): -403 meV/atom
- Size of the total moment: 0.00 μB per formula unit

Cell lengths 4.840, 3.760, 5.819 Å; angles 89.98, 90.00, 90.00 degrees
Fractional positions:
Te1 0.500 0.999 0.727
Al1 0.000 0.999 0.035
Al2 0.500 0.002 0.238
La1 0.000 0.500 0.499

***

Record 2
The following is a PBE-GGA calculation of La5Al2Te2 after structural relaxation, from Alexandria via LeMat-Bulk.

Output
- DOS at the Fermi energy: 1.2803 states/eV per atom
- Formation energy (no corrections): -869 meV/atom
- Size of the total moment: 0.00 μB per formula unit

Cell lengths 8.395, 8.382, 9.176 Å; angles 90.00, 62.78, 90.00 degrees
Fractional positions:
La1 0.000 0.000 0.000
La2 0.500 0.500 0.000
La3 0.462 0.169 0.729
La4 0.808 0.831 0.729
La5 0.308 0.669 0.729
La6 0.962 0.331 0.729
La7 0.538 0.831 0.271
La8 0.192 0.169 0.271
La9 0.692 0.331 0.271
La10 0.038 0.669 0.271
Al1 0.117 0.386 0.000
Al2 0.883 0.614 0.000
Al3 0.383 0.886 0.000
Al4 0.617 0.114 0.000
Te1 0.202 0.000 0.597
Te2 0.702 0.500 0.597
Te3 0.798 0.000 0.403
Te4 0.298 0.500 0.403

***

Record 3
The following is a PBE-GGA calculation of LaAlTe3 after structural relaxation, from Alexandria via LeMat-Bulk.

Output
- Energy above the lowest structure with this stoichiometry: 10 meV per atom
- Formation energy (no corrections): -947 meV/atom
- Size of the total moment: 0.00 μB per formula unit

Cell lengths 7.266, 8.051, 10.447 Å; angles 90.00, 90.00, 90.00 degrees
Fractional positions:
La1 0.047 0.123 0.732
La2 0.453 0.623 0.732
La3 0.547 0.377 0.232
La4 0.953 0.877 0.232
Al1 0.500 0.000 0.982
Al2 0.500 0.000 0.482
Al3 0.000 0.500 0.982
Al4 0.000 0.500 0.482
Te1 0.824 0.173 0.431
Te2 0.824 0.174 0.034
Te3 0.176 0.827 0.931
Te4 0.176 0.826 0.534
Te5 0.324 0.326 0.534
Te6 0.625 0.992 0.732
Te7 0.676 0.674 0.034
Te8 0.875 0.492 0.732
Te9 0.676 0.673 0.431
Te10 0.324 0.327 0.931
Te11 0.125 0.508 0.232
Te12 0.375 0.008 0.232

***

Record 4
The following is a PBE-GGA calculation of La3AlTe6 after structural relaxation, from Alexandria via LeMat-Bulk.

Output
- Formation energy (no corrections): -1301 meV/atom
- Size of the total moment: 0.00 μB per formula unit

Cell lengths 7.510, 9.969, 9.969 Å; angles 102.06, 90.00, 90.00 degrees
Fractional positions:
La1 0.485 0.917 0.721
La2 0.985 0.721 0.917
La3 0.383 0.401 0.599
La4 0.883 0.599 0.401
La5 0.985 0.083 0.279
La6 0.485 0.279 0.083
Al1 0.028 0.201 0.799
Al2 0.528 0.799 0.201
Te1 0.184 0.695 0.629
Te2 0.684 0.629 0.695
Te3 0.197 0.432 0.904
Te4 0.697 0.904 0.432
Te5 0.165 0.041 0.959
Te6 0.678 0.220 0.780
Te7 0.178 0.780 0.220
Te8 0.665 0.959 0.041
Te9 0.197 0.096 0.568
Te10 0.697 0.568 0.096
Te11 0.184 0.371 0.305
Te12 0.684 0.305 0.371